DFT (PBE) results for Tm2ScAu3 after structural relaxation.

a b c (Å): 4.9643 4.9643 12.1433
angles (deg): 90.00 90.00 120.00
Fractional positions:
Tm1 0.0000 0.0000 0.0000
Tm2 0.0000 0.0000 0.5000
Tm3 0.3333 0.6667 0.1707
Tm4 0.6667 0.3333 0.8293
Sc1 0.3333 0.6667 0.6648
Sc2 0.6667 0.3333 0.3352
Au1 0.0000 0.0000 0.2541
Au2 0.0000 0.0000 0.7459
Au3 0.3333 0.6667 0.4185
Au4 0.3333 0.6667 0.9120
Au5 0.6667 0.3333 0.0880
Au6 0.6667 0.3333 0.5815

Computed properties:
The calculation puts the formation energy at -0.851 eV per atom. The space group is P-3m1. Its magnetic moment is 0.00 μB/cell. The calculated density is 12.48 Mg/m³. Its volume is 259.17 Å³ per cell.